[1]
This record from OQMD describes a relaxed Tm3Al3Cu2Ni crystal. The functional is PBE.

It has space group P-62m (No. 189), with a = 6.9404 Å, b = 6.9404 Å, c = 3.9287 Å, α = 90.00°, β = 90.00° and γ = 120.00°. Symmetry generates all atoms from Tm at (0.0000, 0.5880, 0.0000), Al at (0.0000, 0.2346, 0.5000), Cu at (0.3333, 0.6667, 0.5000) and Ni at (0.0000, 0.0000, 0.0000).

The total moment comes out at 0.0 μB/cell. The value obtained for the total energy is -4.710 eV/atom. As for the volume: 18.21 A^3/atom.


[2]
This record from OQMD describes a relaxed Tm3Al3CuNi2 crystal. The functional is PBE.

It has space group P-62m (No. 189), with a = 6.9082 Å, b = 6.9082 Å, c = 3.9016 Å, α = 90.00°, β = 90.00° and γ = 120.00°. Symmetry generates all atoms from Tm at (0.0000, 0.5827, 0.0000), Al at (0.0000, 0.2426, 0.5000), Cu at (0.0000, 0.0000, 0.0000) and Ni at (0.3333, 0.6667, 0.5000).

The total moment comes out at 0.0 μB/cell. The value obtained for the total energy is -4.960 eV/atom. As for the volume: 17.92 A^3/atom.


[3]
This record from OQMD describes a relaxed Y2TmAl3Cu2Ni crystal. The functional is PBE.

It has space group Amm2 (No. 38), with a = 3.994 Å, b = 12.052 Å, c = 6.957 Å, α = 90.00°, β = 90.00° and γ = 90.00°. Symmetry generates all atoms from Y at (0.000, 0.205, 0.000), Tm at (0.000, 0.000, 0.385), Al at (0.500, 0.000, 0.025), Al at (0.500, 0.116, 0.678), Cu at (0.500, 0.163, 0.295) and Ni at (0.000, 0.000, 0.790).

The total moment comes out at 0.0 μB/cell. The value obtained for the total energy is -5.143 eV/atom. As for the volume: 18.60 A^3/atom.


[4]
This record from OQMD describes a relaxed Tm2ZrAl3Cu2Ni crystal. The functional is PBE.

It has space group Amm2 (No. 38), with a = 3.901 Å, b = 11.981 Å, c = 6.825 Å, α = 90.00°, β = 90.00° and γ = 90.00°. Symmetry generates all atoms from Tm at (0.000, 0.205, 0.000), Zr at (0.000, 0.000, 0.388), Al at (0.500, 0.000, 0.037), Al at (0.500, 0.115, 0.673), Cu at (0.500, 0.163, 0.297) and Ni at (0.000, 0.000, 0.791).

The total moment comes out at 0.0 μB/cell. The value obtained for the total energy is -5.148 eV/atom. As for the volume: 17.72 A^3/atom.


[5]
This record from OQMD describes a relaxed TmZr2Al3Cu2Ni crystal. The functional is PBE.

It has space group Amm2 (No. 38), with a = 3.911 Å, b = 11.620 Å, c = 6.758 Å, α = 90.00°, β = 90.00° and γ = 90.00°. Symmetry generates all atoms from Tm at (0.000, 0.000, 0.000), Zr at (0.000, 0.205, 0.387), Al at (0.500, 0.000, 0.354), Al at (0.500, 0.123, 0.705), Cu at (0.500, 0.169, 0.090) and Ni at (0.000, 0.000, 0.585).

The total moment comes out at 0.1 μB/cell. The value obtained for the total energy is -5.596 eV/atom. As for the volume: 17.06 A^3/atom.


[6]
This record from OQMD describes a relaxed AlCuNiW crystal. The functional is PBE.

It has space group F-43m (No. 216), with a = 5.948 Å, b = 5.948 Å, c = 5.948 Å, α = 90.00°, β = 90.00° and γ = 90.00°. Symmetry generates all atoms from Al at (0.000, 0.000, 0.000), Cu at (0.250, 0.250, 0.250), Ni at (0.250, 0.250, 0.750) and W at (0.000, 0.000, 0.500).

The total moment comes out at 0.1 μB/cell. The value obtained for the total energy is -6.423 eV/atom. As for the volume: 13.15 A^3/atom.


[7]
This record from OQMD describes a relaxed AlCuNiW crystal. The functional is PBE.

It has space group F-43m (No. 216), with a = 5.978 Å, b = 5.978 Å, c = 5.978 Å, α = 90.00°, β = 90.00° and γ = 90.00°. Symmetry generates all atoms from Al at (0.000, 0.000, 0.000), Cu at (0.250, 0.250, 0.250), Ni at (0.000, 0.000, 0.500) and W at (0.250, 0.250, 0.750).

The total moment comes out at 2.7 μB/cell. The value obtained for the total energy is -6.333 eV/atom. As for the volume: 13.35 A^3/atom.


[8]
This record from OQMD describes a relaxed Y3Al3CuNi2 crystal. The functional is PBE.

It has space group P-62m (No. 189), with a = 7.0010 Å, b = 7.0010 Å, c = 3.9889 Å, α = 90.00°, β = 90.00° and γ = 120.00°. Symmetry generates all atoms from Y at (0.0000, 0.5814, 0.0000), Al at (0.0000, 0.2401, 0.5000), Cu at (0.0000, 0.0000, 0.0000) and Ni at (0.3333, 0.6667, 0.5000).

The total moment comes out at 0.0 μB/cell. The value obtained for the total energy is -5.601 eV/atom. As for the volume: 18.81 A^3/atom.


[9]
This record from OQMD describes a relaxed Zr2Al2CuNi3 crystal. The functional is PBE.

It has space group P3m1 (No. 156), with a = 4.1301 Å, b = 4.1301 Å, c = 8.0070 Å, α = 90.00°, β = 90.00° and γ = 120.00°. Symmetry generates all atoms from Zr at (0.0000, 0.0000, 0.0000), Zr at (0.3333, 0.6667, 0.4882), Al at (0.6667, 0.3333, 0.2455), Al at (0.6667, 0.3333, 0.7547), Cu at (0.0000, 0.0000, 0.6600), Ni at (0.0000, 0.0000, 0.3316), Ni at (0.3333, 0.6667, 0.1615) and Ni at (0.3333, 0.6667, 0.8256).

The total moment comes out at 0.0 μB/cell. The value obtained for the total energy is -6.185 eV/atom. As for the volume: 14.79 A^3/atom.


[10]
This record from OQMD describes a relaxed NpAlCu crystal. The functional is PBE.

It has space group F-43m (No. 216), with a = 6.179 Å, b = 6.179 Å, c = 6.179 Å, α = 90.00°, β = 90.00° and γ = 90.00°. Symmetry generates all atoms from Np at (0.000, 0.000, 0.000), Al at (0.000, 0.000, 0.500) and Cu at (0.250, 0.250, 0.750).

The total moment comes out at 13.6 μB/cell. The value obtained for the total energy is -6.418 eV/atom. As for the volume: 19.66 A^3/atom.


[11]
This record from OQMD describes a relaxed NpAl8Cu4 crystal. The functional is PBE.

It has space group I4/mmm (No. 139), with a = 8.814 Å, b = 8.814 Å, c = 5.071 Å, α = 90.00°, β = 90.00° and γ = 90.00°. Symmetry generates all atoms from Np at (0.000, 0.000, 0.000), Al at (0.000, 0.220, 0.500), Al at (0.000, 0.347, 0.000) and Cu at (0.250, 0.250, 0.250).

The total moment comes out at 0.5 μB/cell. The value obtained for the total energy is -4.578 eV/atom. As for the volume: 15.15 A^3/atom.


[12]
This record from OQMD describes a relaxed AlCuOs crystal. The functional is PBE.

It has space group F-43m (No. 216), with a = 5.688 Å, b = 5.688 Å, c = 5.688 Å, α = 90.00°, β = 90.00° and γ = 90.00°. Symmetry generates all atoms from Al at (0.000, 0.000, 0.000), Cu at (0.250, 0.250, 0.750) and Os at (0.250, 0.250, 0.250).

The total moment comes out at 0.1 μB/cell. The value obtained for the total energy is -5.825 eV/atom. As for the volume: 15.33 A^3/atom.


Please write out number 9 again, unchanged.
This record from OQMD describes a relaxed Zr2Al2CuNi3 crystal. The functional is PBE.

It has space group P3m1 (No. 156), with a = 4.1301 Å, b = 4.1301 Å, c = 8.0070 Å, α = 90.00°, β = 90.00° and γ = 120.00°. Symmetry generates all atoms from Zr at (0.0000, 0.0000, 0.0000), Zr at (0.3333, 0.6667, 0.4882), Al at (0.6667, 0.3333, 0.2455), Al at (0.6667, 0.3333, 0.7547), Cu at (0.0000, 0.0000, 0.6600), Ni at (0.0000, 0.0000, 0.3316), Ni at (0.3333, 0.6667, 0.1615) and Ni at (0.3333, 0.6667, 0.8256).

The total moment comes out at 0.0 μB/cell. The value obtained for the total energy is -6.185 eV/atom. As for the volume: 14.79 A^3/atom.


Repeat the ninth record exactly.
This record from OQMD describes a relaxed Zr2Al2CuNi3 crystal. The functional is PBE.

It has space group P3m1 (No. 156), with a = 4.1301 Å, b = 4.1301 Å, c = 8.0070 Å, α = 90.00°, β = 90.00° and γ = 120.00°. Symmetry generates all atoms from Zr at (0.0000, 0.0000, 0.0000), Zr at (0.3333, 0.6667, 0.4882), Al at (0.6667, 0.3333, 0.2455), Al at (0.6667, 0.3333, 0.7547), Cu at (0.0000, 0.0000, 0.6600), Ni at (0.0000, 0.0000, 0.3316), Ni at (0.3333, 0.6667, 0.1615) and Ni at (0.3333, 0.6667, 0.8256).

The total moment comes out at 0.0 μB/cell. The value obtained for the total energy is -6.185 eV/atom. As for the volume: 14.79 A^3/atom.


Q: Look up the total energy of the eleventh one.
A: -4.578 eV/atom